DFT (GGA-PBE) results for a relaxed ScFeSb2Te crystal.

a = 4.7688 Å, b = 4.7688 Å, c = 5.6410 Å
α = 90.00°, β = 90.00°, γ = 90.00°
Element x y z (fractional)
Sc 0.0000 0.0000 0.0000
Fe 0.5000 0.5000 0.5000
Sb 0.0000 0.5000 0.5000
Sb 0.5000 0.0000 0.5000
Te 0.5000 0.5000 0.0000

Values from the calculation:
**Relative energy among the computed polymorphs**: 0.000 eV per atom
**DOS at the Fermi energy**: 4.05 states/eV/f.u.
**Formation energy from raw total energies**: 1.01 eV/f.u.